1.
DFT (PBE) results for a geometry-optimized Er4InGaRu2 structure.

Unit cell a=8.5872 b=8.5872 c=8.5872 alpha=33.52 beta=33.52 gamma=33.52
Element x y z (fractional)
Er1 0.1220 0.1220 0.1220
Er2 0.3723 0.3723 0.3723
Er3 0.6277 0.6277 0.6277
Er4 0.8780 0.8780 0.8780
In1 0.5000 0.5000 0.5000
Ga1 0.0000 0.0000 0.0000
Ru1 0.2493 0.2493 0.2493
Ru2 0.7507 0.7507 0.7507

Properties
Its total moment is 0.00 μB per cell. The total DFT energy (no corrections) is -5.7438 eV/atom. Its formation energy is -40.8 kJ per mole of atoms. Its space group is R-3m.

2.
DFT (PBE) results for a geometry-optimized Sr6BrN3 structure.

Unit cell a=10.7266 b=3.8534 c=14.0996 alpha=90.00 beta=107.85 gamma=90.00
Element x y z (fractional)
Sr1 0.0078 0.2500 0.2570
Sr2 0.1230 0.7500 0.5736
Sr3 0.1888 0.7500 0.1099
Sr4 0.2813 0.7500 0.3746
Sr5 0.3575 0.2500 0.9502
Sr6 0.4733 0.2500 0.2152
Sr7 0.5267 0.7500 0.7848
Sr8 0.6425 0.7500 0.0498
Sr9 0.7187 0.2500 0.6254
Sr10 0.8112 0.2500 0.8901
Sr11 0.8770 0.2500 0.4264
Sr12 0.9922 0.7500 0.7430
Br1 0.3867 0.2500 0.5792
Br2 0.6133 0.7500 0.4208
N1 0.0305 0.7500 0.3876
N2 0.2441 0.2500 0.2469
N3 0.4184 0.7500 0.0857
N4 0.5816 0.2500 0.9143
N5 0.7559 0.7500 0.7531
N6 0.9695 0.2500 0.6124

Properties
Its total moment is 0.07 μB per cell. The total DFT energy (no corrections) is -4.4608 eV/atom. The value obtained for the formation energy from raw total energies is -759 kJ/mol of formula units. Its space group is P2_1/m.

3.
DFT (PBE) results for a geometry-optimized AgRhSe2 structure.

Unit cell a=6.6181 b=6.6181 c=6.6181 alpha=90.00 beta=90.00 gamma=90.00
Element x y z (fractional)
Ag1 0.0000 0.0000 0.0000
Ag2 0.0000 0.5000 0.5000
Ag3 0.5000 0.0000 0.5000
Ag4 0.5000 0.5000 0.0000
Rh1 0.2500 0.2500 0.7500
Rh2 0.2500 0.7500 0.2500
Rh3 0.7500 0.2500 0.2500
Rh4 0.7500 0.7500 0.7500
Se1 0.0000 0.0000 0.5000
Se2 0.0000 0.5000 0.0000
Se3 0.2500 0.2500 0.2500
Se4 0.2500 0.7500 0.7500
Se5 0.5000 0.0000 0.0000
Se6 0.5000 0.5000 0.5000
Se7 0.7500 0.2500 0.7500
Se8 0.7500 0.7500 0.2500

Properties
Its total moment is 0.00 μB per cell. The total DFT energy (no corrections) is -3.8080 eV/atom. The value obtained for the formation energy from raw total energies is 187 kJ/mol of formula units. Its space group is F-43m.

4.
DFT (PBE) results for a geometry-optimized TlIn12Pb3 structure.

Unit cell a=4.7313 b=4.7313 c=20.2359 alpha=90.00 beta=90.00 gamma=90.00
Element x y z (fractional)
Tl1 0.0000 0.0000 0.0000
In1 0.0000 0.5000 0.1264
In2 0.0000 0.5000 0.3755
In3 0.0000 0.5000 0.6245
In4 0.0000 0.5000 0.8736
In5 0.5000 0.0000 0.1264
In6 0.5000 0.0000 0.3755
In7 0.5000 0.0000 0.6245
In8 0.5000 0.0000 0.8736
In9 0.5000 0.5000 0.0000
In10 0.5000 0.5000 0.2498
In11 0.5000 0.5000 0.5000
In12 0.5000 0.5000 0.7502
Pb1 0.0000 0.0000 0.2498
Pb2 0.0000 0.0000 0.5000
Pb3 0.0000 0.0000 0.7502

Properties
Its total moment is 0.00 μB per cell. The total DFT energy (no corrections) is -2.8633 eV/atom. Its formation energy is 3.3 kJ per mole of atoms. Its space group is P4/mmm.